[1]
A geometry-optimized Nd2Ga7Au structure. Source: Alexandria via LeMat-Bulk, functional GGA-PBE.

a = 4.3707 Å, b = 4.3707 Å, c = 10.6133 Å
α = 90.00°, β = 90.00°, γ = 90.00°
Last column: nearest neighbours and their distance in Å.
Positions (direct):
1 Nd 0.5000 0.0000 0.7527  14 Ga 3.31-3.46, 2 Au 3.42
2 Nd 0.0000 0.5000 0.2473  14 Ga 3.31-3.46, 2 Au 3.42
3 Ga 0.0000 0.5000 0.8654  3 Ga 2.45-2.61, 2 Au 2.61
4 Ga 0.5000 0.0000 0.3656  5 Ga 2.45-2.61
5 Ga 0.5000 0.0000 0.1346  3 Ga 2.45-2.61, 2 Au 2.61
6 Ga 0.0000 0.5000 0.6344  5 Ga 2.45-2.61
7 Ga 0.0000 0.0000 0.5000  4 Ga 2.61
8 Ga 0.0000 0.0000 0.0000  4 Ga 2.61
9 Ga 0.5000 0.5000 0.5000  4 Ga 2.61
10 Au 0.5000 0.5000 0.0000  4 Ga 2.61

Output
The value obtained for the total energy is -0.1434 hartree per atom. For the total magnetic moment, the calculation gives 0.00 μB per atom. The formation energy from the elements is -502.3 meV per atom. The crystal system is tetragonal. The symmetry is P-4m2. The value obtained for the density of states at the Fermi level is 3.6 states/eV/cell.

[2]
A geometry-optimized Nd6Ga2Au structure. Source: Alexandria via LeMat-Bulk, functional GGA-PBE.

a = 6.4541 Å, b = 8.4375 Å, c = 9.9765 Å
α = 90.00°, β = 85.83°, γ = 90.00°
Last column: nearest neighbours and their distance in Å.
Positions (direct):
1 Nd 0.8565 0.9514 0.2273  1 Au 2.97, 2 Ga 3.11-3.12
2 Nd 0.8585 0.6592 0.5588  1 Au 3.06, 3 Ga 3.12-3.35, 1 Nd 3.41
3 Nd 0.8882 0.6932 0.9340  1 Au 3.02, 2 Ga 3.20-3.28
4 Nd 0.6118 0.1932 0.5660  1 Au 3.02, 2 Ga 3.20-3.28
5 Nd 0.6415 0.1592 0.9412  1 Au 3.06, 3 Ga 3.12-3.35, 1 Nd 3.41
6 Nd 0.6435 0.4514 0.2727  1 Au 2.97, 2 Ga 3.11-3.12
7 Nd 0.1435 0.0486 0.7727  1 Au 2.97, 2 Ga 3.11-3.12
8 Nd 0.1415 0.3408 0.4412  1 Au 3.06, 3 Ga 3.12-3.35, 1 Nd 3.41
9 Nd 0.1118 0.3068 0.0660  1 Au 3.02, 2 Ga 3.20-3.28
10 Nd 0.3882 0.8068 0.4340  1 Au 3.02, 2 Ga 3.20-3.28
11 Nd 0.3585 0.8408 0.0588  1 Au 3.06, 3 Ga 3.12-3.35, 1 Nd 3.41
12 Nd 0.3565 0.5486 0.7273  1 Au 2.97, 2 Ga 3.11-3.12
13 Ga 0.9275 0.3787 0.7557  8 Nd 3.11-3.45
14 Ga 0.5725 0.8787 0.7443  8 Nd 3.11-3.45
15 Ga 0.4275 0.1213 0.2557  8 Nd 3.11-3.45
16 Ga 0.0725 0.6213 0.2443  8 Nd 3.11-3.45
17 Au 0.5000 0.5000 0.0000  6 Nd 2.97-3.06
18 Au 0.0000 0.0000 0.5000  6 Nd 2.97-3.06

Output
The value obtained for the total energy is -0.1673 hartree per atom. For the total magnetic moment, the calculation gives 0.00 μB per atom. The formation energy from the elements is -338.4 meV per atom. The crystal system is monoclinic. Its energy above the lowest structure with this stoichiometry is 0.069 eV/atom. The symmetry is P2_1/c. The value obtained for the density of states at the Fermi level is 19.5 states/eV/cell.